(1)
An optimized crystal structure of Mg2Cu5Ni. Source: the Open Quantum Materials Database, functional PBE.

Geometry as POSCAR:
```
Mg2Cu5Ni
1.0
4.163 0.000 0.000
0.000 4.163 0.000
0.000 0.000 5.916
Ni Mg Cu
1 2 5
direct
0.000 0.000 0.500
0.000 0.000 0.000
0.500 0.500 0.500
0.500 0.000 0.253
0.000 0.500 0.253
0.000 0.500 0.747
0.500 0.500 0.000
0.500 0.000 0.747
```

=====

(2)
An optimized crystal structure of PmLuIn. Source: the Open Quantum Materials Database, functional PBE.

Geometry as POSCAR:
```
PmLuIn
1.0
0.000 3.672 3.672
3.672 0.000 3.672
3.672 3.672 0.000
In Lu Pm
1 1 1
direct
0.000 0.000 0.000
0.250 0.250 0.250
0.750 0.750 0.750
```

E above lowest polymorph in eV/atom: 0.000

=====

(3)
An optimized crystal structure of AlCuNiHg. Source: the Open Quantum Materials Database, functional PBE.

Geometry as POSCAR:
```
AlCuNiHg
1.0
0.000 3.069 3.069
3.069 0.000 3.069
3.069 3.069 0.000
Ni Cu Hg Al
1 1 1 1
direct
0.250 0.250 0.250
0.750 0.750 0.750
0.500 0.500 0.500
0.000 0.000 0.000
```

E above lowest polymorph in eV/atom: 0.000

=====

(4)
An optimized crystal structure of Na2SnHgTe4. Source: the Open Quantum Materials Database, functional PBE.

Geometry as POSCAR:
```
Na2SnHgTe4
1.0
-4.482 5.276 -3.422
-5.583 -5.264 0.868
3.854 2.007 5.918
Na Hg Sn Te
2 1 1 4
direct
0.515 0.485 0.000
0.764 0.236 0.500
0.014 0.986 0.000
0.264 0.736 0.500
0.152 0.369 0.044
0.920 0.647 0.524
0.631 0.848 0.956
0.353 0.080 0.476
```

E above lowest polymorph in eV/atom: 0.003

=====

| no. | final energy (eV per cell) |
| --- | --- |
| 1 | -27.61 |
| 2 | -12.26 |
| 3 | -13.48 |
| 4 | -23.09 |